Crystalline NpURuRh at its relaxed geometry, computed with PBE-GGA.

For the formation energy, the calculation gives -0.158 eV per atom. The value obtained for the energy above the most stable polymorph in this dataset is 0.198 eV/atom. The total magnetic moment is 21.4 μB/cell. For the final energy, the calculation gives -0.3812 Ha/atom.

The space group is F-43m (No. 216) and the conventional cell measures 6.775, 6.775 and 6.775 Å, with angles of 90.00, 90.00 and 90.00 degrees. The asymmetric unit holds Np at (0.000, 0.000, 0.000), U at (0.000, 0.000, 0.500), Ru at (0.250, 0.250, 0.250) and Rh at (0.250, 0.250, 0.750).

Crystalline Sb2PdRhI at its relaxed geometry, computed with PBE-GGA.

The value obtained for the energy above the most stable polymorph in this dataset is 0.000 eV/atom. The total magnetic moment is 0.0 μB/cell. For the final energy, the calculation gives -0.1458 Ha/atom. As for the uncorrected formation energy: 241.0 kJ/mol of formula units.

The space group is P4/mmm (No. 123) and the conventional cell measures 5.033, 5.033 and 5.583 Å, with angles of 90.00, 90.00 and 90.00 degrees. The asymmetric unit holds Sb at (0.000, 0.500, 0.000), Pd at (0.000, 0.000, 0.500), Rh at (0.500, 0.500, 0.000) and I at (0.500, 0.500, 0.500).

Crystalline Y6Ge2PSe3 at its relaxed geometry, computed with PBE-GGA.

The total magnetic moment is 0.0 μB/cell. For the final energy, the calculation gives -0.2526 Ha/atom. As for the uncorrected formation energy: -1793.8 kJ/mol of formula units.

The space group is C2/m (No. 12) and the conventional cell measures 17.958, 4.107 and 8.253 Å, with angles of 90.00, 103.61 and 90.00 degrees. The asymmetric unit holds Y at (0.004, 0.000, 0.238), Y at (0.162, 0.500, 0.090), Y at (0.169, 0.500, 0.576), Ge at (0.166, 0.000, 0.332), P at (0.000, 0.500, 0.000), Se at (0.000, 0.500, 0.500) and Se at (0.166, 0.000, 0.834).

Crystalline GeBi2Te at its relaxed geometry, computed with PBE-GGA.

The value obtained for the energy above the most stable polymorph in this dataset is 0.189 eV/atom. The total magnetic moment is 0.0 μB/cell. For the final energy, the calculation gives -0.1341 Ha/atom. As for the uncorrected formation energy: 89.3 kJ/mol of formula units.

The space group is Fm-3m (No. 225) and the conventional cell measures 7.652, 7.652 and 7.652 Å, with angles of 90.00, 90.00 and 90.00 degrees. The asymmetric unit holds Ge at (0.000, 0.000, 0.000), Bi at (0.250, 0.250, 0.250) and Te at (0.000, 0.000, 0.500).

Crystalline TaZnPt3 at its relaxed geometry, computed with PBE-GGA.

For the formation energy, the calculation gives 0.787 eV per atom. The value obtained for the energy above the most stable polymorph in this dataset is 0.000 eV/atom. The total magnetic moment is 1.7 μB/cell. For the final energy, the calculation gives -0.2007 Ha/atom.

The space group is Pm-3m (No. 221) and the conventional cell measures 4.542, 4.542 and 4.542 Å, with angles of 90.00, 90.00 and 90.00 degrees. The asymmetric unit holds Ta at (0.000, 0.000, 0.000), Zn at (0.500, 0.500, 0.500) and Pt at (0.000, 0.500, 0.500).

Crystalline CaMg3Tl7 at its relaxed geometry, computed with PBE-GGA.

For the formation energy, the calculation gives -0.018 eV per atom. The total magnetic moment is 0.0 μB/cell. For the final energy, the calculation gives -0.0787 Ha/atom.

The space group is C2/m (No. 12) and the conventional cell measures 10.398, 9.867 and 6.253 Å, with angles of 90.00, 97.36 and 90.00 degrees. The asymmetric unit holds Ca at (0.000, 0.000, 0.000), Mg at (0.000, 0.311, 0.500), Mg at (0.000, 0.500, 0.000), Tl at (0.000, 0.000, 0.500), Tl at (0.214, 0.500, 0.709) and Tl at (0.238, 0.326, 0.232).

Crystalline RbMg3Cd at its relaxed geometry, computed with PBE-GGA.

For the formation energy, the calculation gives 0.179 eV per atom. The value obtained for the energy above the most stable polymorph in this dataset is 0.000 eV/atom. The total magnetic moment is 0.0 μB/cell. For the final energy, the calculation gives -0.0424 Ha/atom.

The space group is Pm-3m (No. 221) and the conventional cell measures 5.514, 5.514 and 5.514 Å, with angles of 90.00, 90.00 and 90.00 degrees. The asymmetric unit holds Rb at (0.000, 0.000, 0.000), Mg at (0.000, 0.500, 0.500) and Cd at (0.500, 0.500, 0.500).

Crystalline KTi2Cd2 at its relaxed geometry, computed with PBE-GGA.

For the formation energy, the calculation gives 0.280 eV per atom. The total magnetic moment is 6.1 μB/cell. For the final energy, the calculation gives -0.1273 Ha/atom.

The space group is P4/mbm (No. 127) and the conventional cell measures 8.923, 8.923 and 2.967 Å, with angles of 90.00, 90.00 and 90.00 degrees. The asymmetric unit holds K at (0.000, 0.000, 0.000), Ti at (0.103, 0.397, 0.000) and Cd at (0.185, 0.685, 0.500).

Crystalline LaPr6Mg at its relaxed geometry, computed with PBE-GGA.

For the formation energy, the calculation gives 0.066 eV per atom. The value obtained for the energy above the most stable polymorph in this dataset is 0.000 eV/atom. The total magnetic moment is 0.0 μB/cell. For the final energy, the calculation gives -0.1593 Ha/atom.

The space group is I4/mmm (No. 139) and the conventional cell measures 5.954, 5.954 and 15.605 Å, with angles of 90.00, 90.00 and 90.00 degrees. The asymmetric unit holds La at (0.000, 0.000, 0.000), Pr at (0.000, 0.000, 0.243), Pr at (0.000, 0.500, 0.117) and Mg at (0.000, 0.000, 0.500).

Crystalline Rb2ZrZnMo at its relaxed geometry, computed with PBE-GGA.

For the formation energy, the calculation gives 1.714 eV per atom. The total magnetic moment is 1.1 μB/cell. For the final energy, the calculation gives -0.1030 Ha/atom.

The space group is P4/mmm (No. 123) and the conventional cell measures 6.142, 6.142 and 5.315 Å, with angles of 90.00, 90.00 and 90.00 degrees. The asymmetric unit holds Rb at (0.000, 0.500, 0.000), Zr at (0.000, 0.000, 0.500), Zn at (0.500, 0.500, 0.000) and Mo at (0.500, 0.500, 0.500).

Crystalline SmIn2CuPd4 at its relaxed geometry, computed with PBE-GGA.

For the formation energy, the calculation gives -0.542 eV per atom. The total magnetic moment is 0.0 μB/cell. For the final energy, the calculation gives -0.1810 Ha/atom.

The space group is R-3m (No. 166, hexagonal axes) and the conventional cell measures 4.6174, 4.6174 and 23.9510 Å, with angles of 90.00, 90.00 and 120.00 degrees. The asymmetric unit holds Sm at (0.0000, 0.0000, 0.0000), In at (0.0000, 0.0000, 0.2425), Cu at (0.0000, 0.0000, 0.5000), Pd at (0.0000, 0.0000, 0.1269) and Pd at (0.0000, 0.0000, 0.3926).

Crystalline HoPuFeIr at its relaxed geometry, computed with PBE-GGA.

For the formation energy, the calculation gives -0.307 eV per atom. The total magnetic moment is 13.5 μB/cell. For the final energy, the calculation gives -0.3442 Ha/atom.

The space group is F-43m (No. 216) and the conventional cell measures 6.776, 6.776 and 6.776 Å, with angles of 90.00, 90.00 and 90.00 degrees. The asymmetric unit holds Ho at (0.000, 0.000, 0.000), Pu at (0.000, 0.000, 0.500), Fe at (0.250, 0.250, 0.750) and Ir at (0.250, 0.250, 0.250).

Crystalline Be3SiPd at its relaxed geometry, computed with PBE-GGA.

The value obtained for the energy above the most stable polymorph in this dataset is 0.076 eV/atom. The total magnetic moment is 0.0 μB/cell. For the final energy, the calculation gives -0.1340 Ha/atom. As for the uncorrected formation energy: 343.5 kJ/mol of formula units.

The space group is Pm-3m (No. 221) and the conventional cell measures 4.108, 4.108 and 4.108 Å, with angles of 90.00, 90.00 and 90.00 degrees. The asymmetric unit holds Be at (0.000, 0.000, 0.500), Si at (0.000, 0.000, 0.000) and Pd at (0.500, 0.500, 0.500).

Crystalline HoTiZnCo at its relaxed geometry, computed with PBE-GGA.

For the formation energy, the calculation gives -0.107 eV per atom. The total magnetic moment is 0.2 μB/cell. For the final energy, the calculation gives -0.1955 Ha/atom.

The space group is F-43m (No. 216) and the conventional cell measures 6.525, 6.525 and 6.525 Å, with angles of 90.00, 90.00 and 90.00 degrees. The asymmetric unit holds Ho at (0.000, 0.000, 0.000), Ti at (0.000, 0.000, 0.500), Zn at (0.250, 0.250, 0.750) and Co at (0.250, 0.250, 0.250).

Crystalline Pr2Sm8Th3 at its relaxed geometry, computed with PBE-GGA.

For the formation energy, the calculation gives 0.285 eV per atom. The total magnetic moment is 0.0 μB/cell. For the final energy, the calculation gives -0.1862 Ha/atom.

The space group is C2/m (No. 12) and the conventional cell measures 10.455, 10.572 and 9.927 Å, with angles of 90.00, 121.70 and 90.00 degrees. The asymmetric unit holds Pr at (0.238, 0.000, 0.475), Sm at (0.109, 0.262, 0.215), Sm at (0.126, 0.500, 0.785), Sm at (0.157, 0.000, 0.784), Th at (0.000, 0.000, 0.000) and Th at (0.000, 0.250, 0.500).

Crystalline MnCoW2 at its relaxed geometry, computed with PBE-GGA.

For the formation energy, the calculation gives 0.130 eV per atom. The value obtained for the energy above the most stable polymorph in this dataset is 0.000 eV/atom. The total magnetic moment is 2.9 μB/cell. For the final energy, the calculation gives -0.3828 Ha/atom.

The space group is Cmmm (No. 65) and the conventional cell measures 3.533, 4.010 and 7.707 Å, with angles of 90.00, 90.00 and 90.00 degrees. The asymmetric unit holds Mn at (0.000, 0.000, 0.000), Co at (0.000, 0.000, 0.500) and W at (0.000, 0.500, 0.258).

Crystalline Zr3ScZn8 at its relaxed geometry, computed with PBE-GGA.

For the formation energy, the calculation gives -0.284 eV per atom. The value obtained for the energy above the most stable polymorph in this dataset is 0.009 eV/atom. The total magnetic moment is 2.7 μB/cell. For the final energy, the calculation gives -0.1396 Ha/atom.

The space group is P3m1 (No. 156) and the conventional cell measures 5.2774, 5.2774 and 8.4341 Å, with angles of 90.00, 90.00 and 120.00 degrees. The asymmetric unit holds Zr at (0.0000, 0.0000, 0.0000), Zr at (0.0000, 0.0000, 0.3646), Zr at (0.3333, 0.6667, 0.8707), Sc at (0.3333, 0.6667, 0.4967), Zn at (0.0091, 0.5046, 0.1823), Zn at (0.3227, 0.1613, 0.6831), Zn at (0.6667, 0.3333, 0.4313) and Zn at (0.6667, 0.3333, 0.9313).

Crystalline Ce2SnHg2 at its relaxed geometry, computed with PBE-GGA.

For the formation energy, the calculation gives -0.434 eV per atom. The value obtained for the energy above the most stable polymorph in this dataset is 0.000 eV/atom. The total magnetic moment is 4.5 μB/cell. For the final energy, the calculation gives -0.1370 Ha/atom.

The space group is Cmmm (No. 65) and the conventional cell measures 4.915, 15.492 and 3.432 Å, with angles of 90.00, 90.00 and 90.00 degrees. The asymmetric unit holds Ce at (0.000, 0.112, 0.000), Sn at (0.000, 0.500, 0.500) and Hg at (0.000, 0.301, 0.500).

Crystalline Rb2BaScTa at its relaxed geometry, computed with PBE-GGA.

For the formation energy, the calculation gives 1.262 eV per atom. The value obtained for the energy above the most stable polymorph in this dataset is 0.000 eV/atom. The total magnetic moment is 1.2 μB/cell. For the final energy, the calculation gives -0.1156 Ha/atom.

The space group is P4/mmm (No. 123) and the conventional cell measures 6.837, 6.837 and 5.206 Å, with angles of 90.00, 90.00 and 90.00 degrees. The asymmetric unit holds Rb at (0.000, 0.500, 0.000), Ba at (0.000, 0.000, 0.500), Sc at (0.500, 0.500, 0.500) and Ta at (0.500, 0.500, 0.000).

Crystalline Nd3ThGa3 at its relaxed geometry, computed with PBE-GGA.

For the formation energy, the calculation gives -0.360 eV per atom. The total magnetic moment is 0.0 μB/cell. For the final energy, the calculation gives -0.1749 Ha/atom.

The space group is P6_3/m (No. 176) and the conventional cell measures 9.6122, 9.6122 and 4.7038 Å, with angles of 90.00, 90.00 and 120.00 degrees. The asymmetric unit holds Nd at (0.0305, 0.2660, 0.2500), Th at (0.3333, 0.6667, 0.7500) and Ga at (0.0645, 0.6020, 0.2500).